(1)
DFT (PBE-GGA) results for a relaxed structure of Mg2Al2Ag5.

Output
Its density of states at the Fermi level is 0.256 states/eV per atom. The energy relative to the lowest polymorph listed for this composition is 0.028 eV per atom.

The structure in extended XYZ format:
```
18
Lattice="-3.5044 3.5252 -4.9862 6.2797 0.1679 -4.2948 -5.1899 -5.5582 -0.2820" Properties=species:S:1:pos:R:3 pbc="T T T"
Mg 3.8480 -1.0461 -3.4440
Mg -3.6390 -2.1466 -3.9307
Mg -2.7582 -4.3442 -1.1328
Mg 1.2244 0.2815 -5.6322
Al -1.1471 0.5781 -2.4539
Al -1.2674 -2.4432 -7.1091
Al -2.6467 1.0912 -6.0078
Al 0.2321 -2.9563 -3.5551
Ag 0.0000 0.0000 0.0000
Ag -1.2073 -0.9325 -4.7815
Ag -1.7419 -1.9214 -1.8882
Ag -3.6480 -1.4291 -6.6339
Ag -3.6773 0.7474 -3.6119
Ag -1.7126 -4.0978 -4.9102
Ag -0.6727 0.0563 -7.6748
Ag 1.2334 -0.4360 -2.9291
Ag 1.2627 -2.6125 -5.9511
Ag -0.7020 2.2327 -4.6528
```


(2)
DFT (PBE-GGA) results for a relaxed structure of Mg2AlAg4.

Output
Its density of states at the Fermi level is 0.447 states/eV per atom. The energy relative to the lowest polymorph listed for this composition is 0.098 eV per atom.

The structure in extended XYZ format:
```
7
Lattice="6.6934 0.0079 -0.0028 -0.0010 6.6935 0.0028 -3.3450 -3.3519 3.0563" Properties=species:S:1:pos:R:3 pbc="T T T"
Mg 3.3470 0.0031 1.5271
Mg 0.0003 3.3464 1.5299
Al 3.3474 3.3495 3.0536
Ag 4.7878 1.9111 -0.0003
Ag 1.9047 4.7903 0.0014
Ag 1.9037 1.9062 0.0005
Ag 4.7887 4.7952 0.0005
```


(3)
DFT (PBE-GGA) results for a relaxed structure of MgAl5Ag6.

Output
Its density of states at the Fermi level is 0.279 states/eV per atom.

The structure in extended XYZ format:
```
12
Lattice="-2.0961 3.1021 -2.3134 -5.0949 0.1286 4.7888 2.2232 6.2625 2.1971" Properties=species:S:1:pos:R:3 pbc="T T T"
Mg 0.0000 0.0000 0.0000
Al -2.4678 6.3001 2.3117
Al 0.0375 3.1146 -0.0437
Al -2.5475 0.0643 2.3944
Al 0.0895 6.2500 -0.0726
Al -2.5001 3.1931 2.3608
Ag -4.8112 4.7861 2.4048
Ag -2.2713 4.7220 0.0175
Ag -2.3718 1.5845 0.0875
Ag -4.8192 1.6462 2.3879
Ag -2.6965 4.7712 4.6550
Ag -0.1567 4.7071 2.2678
```


(4)
DFT (PBE-GGA) results for a relaxed structure of Mg9Al4Ag11.

Output
Its density of states at the Fermi level is 0.280 states/eV per atom.

The structure in extended XYZ format:
```
24
Lattice="3.0537 0.0000 0.0000 0.0000 11.5135 -5.0753 0.0000 -0.1423 12.5817" Properties=species:S:1:pos:R:3 pbc="T T T"
Mg 1.5269 7.1384 -1.2151
Mg 1.5269 4.2328 8.7215
Mg 1.5269 1.6880 7.0416
Mg 1.5269 9.6832 0.4648
Mg 1.5269 9.0269 7.9937
Mg 1.5269 2.3443 -0.4873
Mg 1.5269 10.8980 5.1593
Mg 1.5269 0.4732 2.3472
Mg 1.5269 5.6856 3.7532
Al 1.5269 6.3657 6.7203
Al 1.5269 5.0055 0.7861
Al 1.5269 8.6813 3.2126
Al 1.5269 2.6900 4.2939
Ag 0.0000 6.7380 8.9740
Ag 0.0000 4.6333 -1.4676
Ag 0.0000 10.8999 2.6692
Ag 0.0000 0.4713 4.8372
Ag 0.0000 7.1644 1.5131
Ag 0.0000 4.2068 5.9934
Ag 0.0000 9.5209 -2.0567
Ag 0.0000 1.8503 9.5631
Ag 0.0000 0.0000 0.0000
Ag 0.0000 8.2208 5.4268
Ag 0.0000 3.1504 2.0797
```


| no. | ΔH_f (0 K) (eV per formula unit) | ρ (g/cm³) |
| --- | --- | --- |
| 1 | -0.07 | 6.3 |
| 2 | 0.15 | 6.1 |
| 3 | -0.40 | 6.5 |
| 4 | -3.80 | 5.7 |